Crystalline Na3Ac3PaSe8 at its relaxed geometry, computed with PBE-GGA.

## Properties
total magnetic moment = 1.02 μB per cell
SG = C2/m
raw formation energy = -160 kJ/mol of atoms

a = 8.703 Å, b = 8.703 Å, c = 8.705 Å
α = 118.04°, β = 118.04°, γ = 61.96°
Fractional positions:
Na1 0.000 0.000 0.000
Na2 0.000 0.500 0.500
Na3 0.500 0.000 0.500
Ac1 0.000 0.500 0.000
Ac2 0.500 0.000 0.000
Ac3 0.500 0.500 0.500
Pa1 0.000 0.000 0.500
Se1 0.232 0.232 0.735
Se2 0.232 0.767 0.269
Se3 0.233 0.768 0.731
Se4 0.251 0.251 0.247
Se5 0.749 0.749 0.753
Se6 0.767 0.232 0.269
Se7 0.768 0.233 0.731
Se8 0.768 0.768 0.265